No. 1
Here is an optimized crystal structure of Sr2TlB from Alexandria. Energies are from PBEsol.

Results
The calculation puts the relative energy among the computed polymorphs at 173.5 meV per atom. The calculation puts the total energy at -2.79 eV per atom.

Cell: 6.8558 6.8558 6.8558 Å, 105.27 105.27 118.24°
Last column: magnetic moment on the atom in μB.
Positions (direct):
Sr (0.8094, 0.8750, 0.4344)  0.04
Sr (0.4406, 0.3750, 0.5656)  0.04
Sr (0.1250, 0.5594, 0.9344)  0.04
Sr (0.6250, 0.1906, 0.0656)  0.04
Tl (0.0000, 0.0000, 0.0000)  0.00
Tl (0.2500, 0.7500, 0.5000)  0.00
B (0.5000, 0.5000, 0.0000)  0.19
B (0.7500, 0.2500, 0.5000)  0.19

No. 2
Here is an optimized crystal structure of CaHfSc2B from Alexandria. Energies are from PBEsol.

Results
The calculation puts the total energy at -6.15 eV per atom.

Cell: 4.7271 4.7271 4.9786 Å, 90.00 90.00 90.00°
Last column: magnetic moment on the atom in μB.
Positions (direct):
Sc (0.0000, 0.5000, 0.0000)  0.14
Sc (0.5000, 0.0000, 0.0000)  0.14
Ca (0.0000, 0.0000, 0.5000)  0.01
B (0.0000, 0.0000, 0.0000)  -0.01
Hf (0.5000, 0.5000, 0.5000)  0.46

Taking the records one at a time from the top gives magnetization values of 0.16 0.25 μB per atom.